No. 1
BeIr2Rh | Alexandria via LeMat-Bulk | PBE | relaxed; energy relative to the elements = 0.044 eV/atom; final energy = -28.6 eV for the cell shown; space group = Cmm2, No. 35; total moment = 0.0 μB per cell
1.0
1.3621 -2.3396 0.0000
1.3621 2.3396 0.0000
0.0000 0.0000 8.3941
Be Ir Rh
1 2 1
Direct
0.0000 0.0000 0.0000 Be
0.0000 0.0000 0.5021 Ir
0.5000 0.5000 0.2219 Ir
0.5000 0.5000 0.7821 Rh

No. 2
Hg4Pd5Pt | Alexandria via LeMat-Bulk | PBE | relaxed; energy relative to the elements = -0.107 eV/atom; final energy = -34.3 eV for the cell shown; space group = P4/mmm, No. 123; total moment = 0.0 μB per cell
1.0
3.3735 0.0000 0.0000
0.0000 3.3735 0.0000
0.0000 0.0000 15.4603
Hg Pd Pt
4 5 1
Direct
0.0000 0.0000 0.1028 Hg
0.0000 0.0000 0.3091 Hg
0.0000 0.0000 0.6909 Hg
0.0000 0.0000 0.8972 Hg
0.5000 0.5000 0.0000 Pd
0.5000 0.5000 0.2043 Pd
0.5000 0.5000 0.4081 Pd
0.5000 0.5000 0.5919 Pd
0.5000 0.5000 0.7957 Pd
0.0000 0.0000 0.5000 Pt

No. 3
CaCo2Ni | Alexandria via LeMat-Bulk | PBE | relaxed; energy relative to the elements = 0.474 eV/atom; final energy = -20.1 eV for the cell shown; space group = C2/m, No. 12; total moment = 3.2 μB per cell
1.0
2.5741 -4.4342 0.0000
2.5741 4.4342 0.0000
-0.9680 0.0000 2.4754
Ca Co Ni
1 2 1
Direct
0.0000 0.0000 0.0000 Ca
0.0000 0.5000 0.5000 Co
0.5000 0.0000 0.5000 Co
0.5000 0.5000 0.0000 Ni

No. 4
LiAgPt2 | Alexandria via LeMat-Bulk | PBE | relaxed; energy relative to the elements = -0.315 eV/atom; final energy = -18.1 eV for the cell shown; space group = C2/m, No. 12; energy above the most stable polymorph in this dataset = 0.031 eV per atom; total moment = 0.0 μB per cell
1.0
2.7325 -4.7429 0.0000
2.7325 4.7429 0.0000
-1.3249 0.0000 2.4078
Li Ag Pt
1 1 2
Direct
0.0000 0.0000 0.0000 Li
0.5000 0.5000 0.0000 Ag
0.0000 0.5000 0.5000 Pt
0.5000 0.0000 0.5000 Pt